Here is an optimized crystal structure of NdZn from OQMD via LeMat-Bulk. Energies are from PBE.

a b c (Å): 6.4594 4.7549 6.3737
angles (deg): 90.00 90.00 90.00
With the nearest neighbours (Å) after each atom.
Space group Pnma (No. 62)
Inequivalent atoms, fractional coordinates:
Nd 0.1459 0.2500 0.1374 (multiplicity 4)  7 Zn 3.05-3.35
Zn 0.0596 0.2500 0.6188 (multiplicity 4)  2 Zn 2.92, 6 Nd 3.05-3.14

The value obtained for the formation energy is -269 meV per atom. The calculation puts the raw total energy at -3.28 eV/atom. For the total moment, the calculation gives 0.02 μB per cell.

Here is an optimized crystal structure of HfNbPO from OQMD via LeMat-Bulk. Energies are from PBE.

a b c (Å): 3.7483 3.7483 8.2464
angles (deg): 90.00 90.00 90.00
With the nearest neighbours (Å) after each atom.
Space group P4/nmm (No. 129, origin choice 2)
Inequivalent atoms, fractional coordinates:
Hf 0.2500 0.7500 0.0000 (multiplicity 2)  4 Hf 2.65, 4 P 2.66
Nb 0.2500 0.2500 0.3518 (multiplicity 2)  4 O 2.24
P 0.2500 0.2500 0.7703 (multiplicity 2)  4 Hf 2.66, 4 Nb 2.84, 4 O 2.91
O 0.2500 0.7500 0.5000 (multiplicity 2)  4 Nb 2.24

The calculation puts the raw total energy at -8.56 eV/atom. The calculation puts the relative energy among the computed polymorphs at 0.666 eV/atom. For the total moment, the calculation gives 0.02 μB per cell.

Here is an optimized crystal structure of PrAuSeO from OQMD via LeMat-Bulk. Energies are from PBE.

a b c (Å): 9.5724 5.8449 5.8594
angles (deg): 90.00 90.00 90.00
With the nearest neighbours (Å) after each atom.
Space group Aem2 (No. 39)
Inequivalent atoms, fractional coordinates:
Pr 0.1239 0.2500 0.0000 (multiplicity 4)  4 O 2.38
Au 0.5000 0.0000 0.0008 (multiplicity 4)  2 Se 2.52
Se 0.2859 0.2500 0.5006 (multiplicity 4)  2 Au 2.52
O 0.0000 0.0000 0.2499 (multiplicity 4)  4 Pr 2.38

The calculation puts the raw total energy at -5.99 eV/atom. For the total moment, the calculation gives 0.01 μB per cell.

Here is an optimized crystal structure of ScNi2Os from OQMD via LeMat-Bulk. Energies are from PBE.

a b c (Å): 6.0814 6.0814 6.0814
angles (deg): 90.00 90.00 90.00
With the nearest neighbours (Å) after each atom.
Space group F-43m (No. 216)
Inequivalent atoms, fractional coordinates:
Sc 0.0000 0.0000 0.0000 (multiplicity 4)  4 Ni 2.63, 4 Os 2.63
Ni 0.0000 0.0000 0.5000 (multiplicity 4)  4 Os 2.63, 4 Ni 2.63
Ni 0.2500 0.2500 0.7500 (multiplicity 4)  4 Ni 2.63, 4 Sc 2.63
Os 0.2500 0.2500 0.2500 (multiplicity 4)  4 Ni 2.63, 4 Sc 2.63

The value obtained for the formation energy is 27 meV per atom. The calculation puts the raw total energy at -7.15 eV/atom. For the total moment, the calculation gives 8.91 μB per cell.

Here is an optimized crystal structure of NaPtPb from OQMD via LeMat-Bulk. Energies are from PBE.

a b c (Å): 6.6439 6.6439 6.6439
angles (deg): 90.00 90.00 90.00
With the nearest neighbours (Å) after each atom.
Space group F-43m (No. 216)
Inequivalent atoms, fractional coordinates:
Na 0.0000 0.0000 0.0000 (multiplicity 4)  4 Pt 2.88
Pt 0.2500 0.2500 0.2500 (multiplicity 4)  4 Pb 2.88, 4 Na 2.88
Pb 0.0000 0.0000 0.5000 (multiplicity 4)  4 Pt 2.88

The calculation puts the raw total energy at -3.87 eV/atom. For the total moment, the calculation gives 0.00 μB per cell.

Here is an optimized crystal structure of BaTeAu from OQMD via LeMat-Bulk. Energies are from PBE.

a b c (Å): 7.4802 7.4802 7.4802
angles (deg): 90.00 90.00 90.00
With the nearest neighbours (Å) after each atom.
Space group F-43m (No. 216)
Inequivalent atoms, fractional coordinates:
Ba 0.0000 0.0000 0.0000 (multiplicity 4)  4 Au 3.24
Te 0.0000 0.0000 0.5000 (multiplicity 4)  4 Au 3.24
Au 0.2500 0.2500 0.2500 (multiplicity 4)  4 Ba 3.24, 4 Te 3.24

The calculation puts the raw total energy at -3.61 eV/atom. The calculation puts the relative energy among the computed polymorphs at 0.000 eV/atom.

Here is an optimized crystal structure of CoW from OQMD via LeMat-Bulk. Energies are from PBE.

a b c (Å): 2.9919 2.9919 2.9919
angles (deg): 90.00 90.00 90.00
With the nearest neighbours (Å) after each atom.
Space group Pm-3m (No. 221)
Inequivalent atoms, fractional coordinates:
Co 0.0000 0.0000 0.0000 (multiplicity 1)  8 W 2.59
W 0.5000 0.5000 0.5000 (multiplicity 1)  8 Co 2.59

The value obtained for the formation energy is 323 meV per atom. The calculation puts the raw total energy at -9.71 eV/atom. For the total moment, the calculation gives 1.60 μB per cell.

Here is an optimized crystal structure of Gd2Pd from OQMD via LeMat-Bulk. Energies are from PBE.

a b c (Å): 12.2805 12.2805 12.2805
angles (deg): 90.00 90.00 90.00
With the nearest neighbours (Å) after each atom.
Space group Fd-3m (No. 227, origin choice 2)
Inequivalent atoms, fractional coordinates:
Gd 0.0000 0.0000 0.0000 (multiplicity 16)  2 Pd 2.66
Pd 0.1250 0.1250 0.1250 (multiplicity 8)  4 Gd 2.66

The value obtained for the formation energy is 902 meV per atom. The calculation puts the raw total energy at -3.93 eV/atom. For the total moment, the calculation gives 0.03 μB per cell.

Here is an optimized crystal structure of HfTaCu from OQMD via LeMat-Bulk. Energies are from PBE.

a b c (Å): 6.1118 6.1118 6.1118
angles (deg): 90.00 90.00 90.00
With the nearest neighbours (Å) after each atom.
Space group F-43m (No. 216)
Inequivalent atoms, fractional coordinates:
Hf 0.0000 0.0000 0.0000 (multiplicity 4)  4 Cu 2.65
Ta 0.0000 0.0000 0.5000 (multiplicity 4)  4 Cu 2.65
Cu 0.2500 0.2500 0.2500 (multiplicity 4)  4 Hf 2.65, 4 Ta 2.65

The value obtained for the formation energy is 466 meV per atom. The calculation puts the raw total energy at -8.04 eV/atom. The calculation puts the relative energy among the computed polymorphs at 0.000 eV/atom. For the total moment, the calculation gives 0.00 μB per cell.

Here is an optimized crystal structure of TlNiMoPt from OQMD via LeMat-Bulk. Energies are from PBE.

a b c (Å): 6.3973 6.3973 6.3973
angles (deg): 90.00 90.00 90.00
With the nearest neighbours (Å) after each atom.
Space group F-43m (No. 216)
Inequivalent atoms, fractional coordinates:
Tl 0.0000 0.0000 0.0000 (multiplicity 4)  4 Ni 2.77, 4 Pt 2.77
Ni 0.2500 0.2500 0.2500 (multiplicity 4)  4 Tl 2.77, 4 Mo 2.77
Mo 0.0000 0.0000 0.5000 (multiplicity 4)  4 Pt 2.77, 4 Ni 2.77
Pt 0.2500 0.2500 0.7500 (multiplicity 4)  4 Tl 2.77, 4 Mo 2.77

The calculation puts the raw total energy at -5.84 eV/atom. The calculation puts the relative energy among the computed polymorphs at 0.024 eV/atom. For the total moment, the calculation gives 3.94 μB per cell.

Here is an optimized crystal structure of GdDy6Y from OQMD via LeMat-Bulk. Energies are from PBE.

a b c (Å): 7.2463 7.2463 5.6347
angles (deg): 90.00 90.00 120.00
With the nearest neighbours (Å) after each atom.
Space group P-6m2 (No. 187)
Inequivalent atoms, fractional coordinates:
Gd 0.0000 0.0000 0.0000 (multiplicity 1)  12 Dy 3.51-3.62
Dy 0.0021 0.5011 0.0000 (multiplicity 3)  8 Dy 3.50-3.65, 2 Y 3.52, 2 Gd 3.62
Dy 0.1673 0.3347 0.5000 (multiplicity 3)  8 Dy 3.50-3.64, 2 Gd 3.51, 2 Y 3.62
Y 0.6667 0.3333 0.5000 (multiplicity 1)  12 Dy 3.52-3.62

The value obtained for the formation energy is 9 meV per atom. The calculation puts the raw total energy at -4.83 eV/atom. For the total moment, the calculation gives 0.51 μB per cell.

Here is an optimized crystal structure of GaPt10 from OQMD via LeMat-Bulk. Energies are from PBE.

a b c (Å): 8.7519 3.8645 34.3024
angles (deg): 90.00 91.19 90.00
With the nearest neighbours (Å) after each atom.
Space group C2/m (No. 12)
Inequivalent atoms, fractional coordinates:
Ga 0.1551 0.0000 0.2734 (multiplicity 4)  6 Pt 2.57-2.75
Pt 0.0451 0.5000 0.2320 (multiplicity 4)  2 Ga 2.57, 8 Pt 2.76-2.87
Pt 0.0493 0.5000 0.9599 (multiplicity 4)  12 Pt 2.76-2.90
Pt 0.0510 0.0000 0.0941 (multiplicity 4)  12 Pt 2.75-2.92
Pt 0.0510 0.0000 0.8253 (multiplicity 4)  12 Pt 2.76-3.01
Pt 0.1485 0.5000 0.1483 (multiplicity 4)  12 Pt 2.76-3.03
Pt 0.1503 0.0000 0.0135 (multiplicity 4)  12 Pt 2.76-2.92
Pt 0.1499 0.5000 0.8798 (multiplicity 4)  12 Pt 2.75-2.93
Pt 0.1542 0.0000 0.7421 (multiplicity 4)  3 Ga 2.61-2.75, 5 Pt 2.76-2.86
Pt 0.2494 0.0000 0.9329 (multiplicity 4)  12 Pt 2.76-2.94
Pt 0.2496 0.0000 0.2011 (multiplicity 4)  1 Ga 2.63, 11 Pt 2.76-2.93

The calculation puts the raw total energy at -5.80 eV/atom. For the total moment, the calculation gives 0.00 μB per cell.

> Among the records above, which one has the lowest raw total energy?

CoW